(1)
The following is a GGA+U calculation of a relaxed Rb2CrTcF6 crystal, from Alexandria.

E: -51.40 eV for the cell shown
M_tot: 0.300 μB per atom

a b c (Å): 6.1116 6.1116 6.0637
angles (deg): 59.74 59.74 90.00
Closest atoms and distances in Å follow each position.
Positions (direct):
Cr: 0.5000 0.5000 0.0000  6 F 2.01-2.18
F: 0.7525 0.7525 0.0000  1 Tc 2.14, 1 Cr 2.18
Rb: 0.7500 0.2500 0.5000  12 F 3.03-3.06
F: 0.7363 0.7363 0.5274  1 Cr 2.01, 1 Tc 2.24
F: 0.2475 0.2475 0.0000  1 Tc 2.14, 1 Cr 2.18
F: 0.2637 0.2637 0.4726  1 Cr 2.01, 1 Tc 2.24
Rb: 0.2500 0.7500 0.5000  12 F 3.03-3.06
F: 0.7525 0.2475 0.0000  1 Tc 2.14, 1 Cr 2.18
Tc: 0.0000 0.0000 0.0000  6 F 2.14-2.24
F: 0.2475 0.7525 0.0000  1 Tc 2.14, 1 Cr 2.18

(2)
The following is a GGA+U calculation of a relaxed Rb2CrTeF6 crystal, from Alexandria.

E: -46.66 eV for the cell shown
M_tot: 0.400 μB per atom

a b c (Å): 7.0586 7.0586 6.4970
angles (deg): 57.10 57.10 90.00
Closest atoms and distances in Å follow each position.
Positions (direct):
Cr: 0.5000 0.5000 0.0000  6 F 1.93-2.00
F: 0.7407 0.7407 0.5186  1 Cr 2.00, 1 Te 2.16
F: 0.6934 0.3066 0.0000  1 Cr 1.93
Rb: 0.7500 0.2500 0.5000  12 F 3.30-3.53
Rb: 0.2500 0.7500 0.5000  12 F 3.30-3.53
F: 0.2593 0.2593 0.4814  1 Cr 2.00, 1 Te 2.16
F: 0.6934 0.6934 0.0000  1 Cr 1.93
Te: 0.0000 0.0000 0.0000  2 F 2.16
F: 0.3066 0.6934 0.0000  1 Cr 1.93
F: 0.3066 0.3066 0.0000  1 Cr 1.93

(3)
The following is a GGA+U calculation of a relaxed RbTiCr2F crystal, from Alexandria.

E: -23.67 eV for the cell shown
M_tot: 2.589 μB per atom

a b c (Å): 4.8997 5.1799 4.8997
angles (deg): 90.00 90.00 90.00
Closest atoms and distances in Å follow each position.
Positions (direct):
Cr: 0.5000 0.0000 0.0000  2 F 2.45
Rb: 0.0000 0.5000 0.0000  2 F 2.59
F: 0.0000 0.0000 0.0000  4 Cr 2.45, 2 Rb 2.59
Ti: 0.5000 0.5000 0.5000  4 Rb 3.46, 8 Cr 3.57
Cr: 0.0000 0.0000 0.5000  2 F 2.45

(4)
The following is a GGA+U calculation of a relaxed RbTiCrF6 crystal, from Alexandria.

E: -108.81 eV for the cell shown
M_tot: 0.556 μB per atom

a b c (Å): 7.2979 7.7738 7.5850
angles (deg): 120.83 118.76 90.00
Closest atoms and distances in Å follow each position.
Positions (direct):
Ti: 0.5000 0.0000 0.0000  6 F 1.98
F: 0.8272 0.0772 0.6544  2 Cr 2.01
Rb: 0.8814 0.6314 0.7627  5 F 3.12-3.14
F: 0.4328 0.0971 0.2526  1 Ti 1.98
F: 0.1728 0.9228 0.3456  2 Cr 2.01
F: 0.5343 0.2843 0.0685  2 Ti 1.98
F: 0.8198 0.0971 0.2526  1 Ti 1.98
F: 0.1802 0.3445 0.7474  1 Ti 1.98
F: 0.5672 0.9029 0.7474  1 Ti 1.98
F: 0.5672 0.3445 0.7474  1 Ti 1.98
F: 0.8198 0.6555 0.2526  1 Ti 1.98
Cr: 0.5000 0.0000 0.5000  6 F 2.01-2.21
Rb: 0.1186 0.3686 0.2373  5 F 3.12-3.14
Cr: 0.0000 0.0000 0.5000  6 F 2.01-2.21
F: 0.4328 0.6555 0.2526  1 Ti 1.98
F: 0.1802 0.9029 0.7474  1 Ti 1.98
Ti: 0.5000 0.5000 0.0000  6 F 1.98
F: 0.4657 0.7157 0.9315  2 Ti 1.98

(5)
The following is a GGA+U calculation of a relaxed RbTlCrF4 crystal, from Alexandria.

E: -35.05 eV for the cell shown
M_tot: 0.571 μB per atom

a b c (Å): 4.1230 4.1230 7.9937
angles (deg): 104.94 104.94 90.00
Closest atoms and distances in Å follow each position.
Positions (direct):
Rb: 0.6517 0.6517 0.3034  9 F 2.84-3.02
Cr: 0.9992 0.9992 0.9983  4 F 2.06
Tl: 0.3407 0.3407 0.6814  5 F 2.69-2.92
F: 0.0031 0.5031 0.0061  2 Cr 2.06
F: 0.1598 0.1598 0.3196  1 Cr 2.39
F: 0.5031 0.0031 0.0061  2 Cr 2.06
F: 0.8425 0.8425 0.6850  1 Cr 2.33

(6)
The following is a GGA+U calculation of a relaxed Rb2TlCrF5 crystal, from Alexandria.

E: -43.06 eV for the cell shown
M_tot: 0.445 μB per atom

a b c (Å): 4.5006 6.2333 7.5035
angles (deg): 114.54 107.45 90.00
Closest atoms and distances in Å follow each position.
Positions (direct):
F: 0.3833 0.6522 0.7667  1 Cr 2.08
Cr: 0.5000 0.0000 0.0000  6 F 2.08-2.25
F: 0.0000 0.0000 0.0000  2 Cr 2.25
F: 0.6167 0.3478 0.2333  1 Cr 2.08
Tl: 0.0000 0.5000 0.0000  10 F 3.12-3.18
Rb: 0.2118 0.2118 0.4237  7 F 2.73-2.94
Rb: 0.7882 0.7882 0.5763  7 F 2.73-2.94
F: 0.3833 0.1145 0.7667  1 Cr 2.08
F: 0.6167 0.8855 0.2333  1 Cr 2.08